No. 1
# Sc2TaRu2, relaxed, DFT PBE
# Total DFT energy (no corrections) = -0.324 Ha/atom
# DOS(E_F) = 7.7 states/eV per cell
# Density = 8.819 g cm⁻³
data_Sc2TaRu2
_chemical_formula_sum 'Sc4 Ta2 Ru4'
_space_group_name_H-M_alt 'P 4/m b m'
_space_group_IT_number 127
_space_group_name_Hall '-P 4 2ab'
_cell_length_a 7.300
_cell_length_b 7.300
_cell_length_c 3.343
_cell_angle_alpha 90.00
_cell_angle_beta 90.00
_cell_angle_gamma 90.00
loop_
_atom_site_label
_atom_site_type_symbol
_atom_site_fract_x
_atom_site_fract_y
_atom_site_fract_z
Sc1 Sc 0.152 0.348 0.000
Ta1 Ta 0.000 0.000 0.500
Ru1 Ru 0.153 0.653 0.500



No. 2
# Sc2TaRu, relaxed, DFT PBE
# Total DFT energy (no corrections) = -0.308 Ha/atom
# DOS(E_F) = 10.1 states/eV per cell
# Density = 8.333 g cm⁻³
data_Sc2TaRu
_chemical_formula_sum 'Sc4 Ta2 Ru2'
_space_group_name_H-M_alt 'C m m m'
_space_group_IT_number 65
_space_group_name_Hall '-C 2 2'
_cell_length_a 5.510
_cell_length_b 8.910
_cell_length_c 3.019
_cell_angle_alpha 90.00
_cell_angle_beta 90.00
_cell_angle_gamma 90.00
loop_
_atom_site_label
_atom_site_type_symbol
_atom_site_fract_x
_atom_site_fract_y
_atom_site_fract_z
Sc1 Sc 0.250 0.250 0.000
Ta1 Ta 0.000 0.000 0.500
Ru1 Ru 0.000 0.500 0.500



No. 3
# ScTaRu2, relaxed, DFT PBE
# Total DFT energy (no corrections) = -0.360 Ha/atom
# DOS(E_F) = 1.8 states/eV per cell
# Density = 10.919 g cm⁻³
data_ScTaRu2
_chemical_formula_sum 'Sc2 Ta2 Ru4'
_space_group_name_H-M_alt 'P m m a'
_space_group_IT_number 51
_space_group_name_Hall '-P 2a 2a'
_cell_length_a 4.543
_cell_length_b 3.174
_cell_length_c 9.031
_cell_angle_alpha 90.00
_cell_angle_beta 90.00
_cell_angle_gamma 90.00
loop_
_atom_site_label
_atom_site_type_symbol
_atom_site_fract_x
_atom_site_fract_y
_atom_site_fract_z
Sc1 Sc 0.250 0.000 0.122
Ta1 Ta 0.250 0.000 0.628
Ru1 Ru 0.250 0.500 0.384
Ru2 Ru 0.250 0.500 0.863



No. 4
# Sc2TaRu3, relaxed, DFT PBE
# Total DFT energy (no corrections) = -0.344 Ha/atom
# DOS(E_F) = 0.9 states/eV per cell
# Density = 9.713 g cm⁻³
data_Sc2TaRu3
_chemical_formula_sum 'Sc2 Ta1 Ru3'
_space_group_name_H-M_alt 'P 4/m m m'
_space_group_IT_number 123
_space_group_name_Hall '-P 4 2'
_cell_length_a 3.190
_cell_length_b 3.190
_cell_length_c 9.647
_cell_angle_alpha 90.00
_cell_angle_beta 90.00
_cell_angle_gamma 90.00
loop_
_atom_site_label
_atom_site_type_symbol
_atom_site_fract_x
_atom_site_fract_y
_atom_site_fract_z
Sc1 Sc 0.000 0.000 0.162
Ta1 Ta 0.000 0.000 0.500
Ru1 Ru 0.500 0.500 0.000
Ru2 Ru 0.500 0.500 0.343